! CaTaWO6 (GGA+U, relaxed); values from VASP
&SYSTEM
  ibrav = 0, nat = 18, ntyp = 4
/
ATOMIC_SPECIES
Ca 40.08 Ca.upf
O 16.00 O.upf
W 183.84 W.upf
Ta 180.95 Ta.upf
ATOMIC_POSITIONS crystal
Ca 0.500 0.500 0.497
O 0.281 0.281 0.690
O 0.176 0.824 0.499
O 0.217 0.783 0.812
O 0.324 0.324 0.999
W 0.500 0.500 0.166
O 0.676 0.676 0.999
O 0.781 0.219 0.190
O 0.717 0.717 0.312
W 0.000 0.000 0.666
Ta 0.500 0.500 0.835
O 0.219 0.781 0.190
O 0.283 0.283 0.312
O 0.783 0.217 0.812
O 0.824 0.176 0.499
O 0.719 0.719 0.690
Ca 0.000 0.000 0.997
Ta 0.000 0.000 0.335
CELL_PARAMETERS angstrom
4.890 0.000 0.000
0.000 4.890 0.000
0.000 0.000 9.744
! **Calculated total energy**: -8.269 eV/atom